Density functional theory data (PBE) for an optimized crystal structure of PrNdCrN4.

Cell lengths 5.678, 5.509, 7.048 Å; angles 90.00, 108.31, 90.00 degrees
Positions (direct):
N1 0.564 0.250 0.846
N2 0.393 0.750 0.550
N3 0.607 0.250 0.450
Pr1 0.279 0.250 0.063
N4 0.969 0.004 0.763
N5 0.031 0.996 0.237
Nd1 0.210 0.250 0.535
Pr2 0.721 0.750 0.937
N6 0.031 0.504 0.237
N7 0.436 0.750 0.154
Cr1 0.232 0.750 0.296
Cr2 0.768 0.250 0.704
N8 0.969 0.496 0.763
Nd2 0.790 0.750 0.465

***

Density functional theory data (PBE) for an optimized crystal structure of Nd2PuCrN4.

Cell lengths 3.438, 6.126, 12.204 Å; angles 90.00, 90.00, 106.30 degrees
Each line ends with the local moment (μB).
Positions (direct):
N1 0.274 0.547 0.361  -0.08
N2 0.000 0.000 0.000  -0.01
Nd1 0.368 0.735 0.957  0.04
N3 0.274 0.547 0.139  -0.08
N4 0.726 0.453 0.861  -0.08
Pu1 0.894 0.788 0.250  5.27
Pu2 0.106 0.212 0.750  5.27
Nd2 0.632 0.265 0.457  0.04
Cr1 0.832 0.665 0.750  1.74
Nd3 0.368 0.735 0.543  0.04
Nd4 0.632 0.265 0.043  0.04
Cr2 0.168 0.335 0.250  1.74
N5 0.726 0.453 0.639  -0.08
N6 0.417 0.834 0.750  -0.13
N7 0.000 0.000 0.500  -0.01
N8 0.583 0.166 0.250  -0.13

***

Density functional theory data (PBE) for an optimized crystal structure of Nd2PuCrN5.

Cell lengths 3.441, 7.147, 10.408 Å; angles 90.00, 90.00, 103.93 degrees
Each line ends with the local moment (μB).
Positions (direct):
Pu1 0.793 0.587 0.508  3.80
N1 0.960 0.919 0.530  -0.13
N2 0.311 0.622 0.378  -0.18
Nd1 0.110 0.220 0.695  0.06
N3 0.714 0.429 0.146  -0.17
Nd2 0.137 0.273 0.301  0.10
N4 0.493 0.985 0.794  -0.03
Cr1 0.493 0.986 0.465  1.48
Nd3 0.890 0.780 0.195  0.06
N5 0.507 0.015 0.294  -0.03
N6 0.625 0.251 0.506  -0.09
N7 0.286 0.571 0.646  -0.17
N8 0.689 0.378 0.878  -0.18
N9 0.375 0.749 0.006  -0.09
Nd4 0.863 0.727 0.801  0.10
Pu2 0.207 0.413 0.008  3.80
N10 0.040 0.081 0.030  -0.13
Cr2 0.507 0.014 0.965  1.48

***

Density functional theory data (PBE) for an optimized crystal structure of RbNdCrN3.

Cell lengths 3.754, 7.039, 8.341 Å; angles 104.15, 90.00, 105.47 degrees
Positions (direct):
Rb1 0.636 0.272 0.068
Cr1 0.010 0.019 0.339
Nd1 0.339 0.679 0.409
Cr2 0.990 0.981 0.661
Rb2 0.364 0.728 0.932
N1 0.151 0.302 0.364
N2 0.881 0.761 0.221
N3 0.486 0.973 0.645
N4 0.849 0.698 0.636
N5 0.514 0.027 0.355
N6 0.119 0.239 0.779
Nd2 0.661 0.321 0.591

***

Density functional theory data (PBE) for an optimized crystal structure of Nd2CrReN5.

Cell lengths 3.313, 7.369, 9.681 Å; angles 90.00, 90.00, 102.99 degrees
Each line ends with the local moment (μB).
Positions (direct):
N1 0.656 0.311 0.497  -0.02
Cr1 0.780 0.560 0.500  1.67
N2 0.689 0.378 0.129  -0.03
N3 0.311 0.622 0.629  -0.03
Nd1 0.867 0.734 0.187  0.02
N4 0.344 0.689 0.997  -0.02
N5 0.484 0.969 0.303  0.02
N6 0.025 0.050 0.055  0.02
Nd2 0.880 0.760 0.804  0.02
N7 0.696 0.391 0.870  -0.03
N8 0.304 0.609 0.370  -0.03
Nd3 0.133 0.266 0.687  0.02
Nd4 0.120 0.240 0.304  0.02
Re1 0.428 0.857 0.479  0.05
Re2 0.572 0.143 0.979  0.05
N9 0.516 0.031 0.803  0.02
Cr2 0.220 0.440 0.000  1.67
N10 0.975 0.950 0.555  0.02

***

Density functional theory data (PBE) for an optimized crystal structure of NdSm2CrN4.

Cell lengths 3.466, 6.129, 11.937 Å; angles 90.00, 90.00, 106.42 degrees
Each line ends with the local moment (μB).
Positions (direct):
Cr1 0.832 0.665 0.750  1.53
Nd1 0.099 0.198 0.750  0.04
Sm1 0.368 0.737 0.957  0.03
N1 0.732 0.465 0.633  -0.01
N2 0.000 0.000 0.500  0.02
N3 0.419 0.838 0.750  -0.06
N4 0.268 0.535 0.367  -0.01
N5 0.732 0.465 0.867  -0.01
N6 0.000 0.000 0.000  0.02
Nd2 0.901 0.802 0.250  0.04
Sm2 0.632 0.263 0.043  0.03
Sm3 0.368 0.737 0.543  0.03
Cr2 0.168 0.335 0.250  1.53
N7 0.268 0.535 0.133  -0.01
N8 0.581 0.162 0.250  -0.06
Sm4 0.632 0.263 0.457  0.03

***

Density functional theory data (PBE) for an optimized crystal structure of SrNdCrN4.

Cell lengths 5.867, 5.612, 7.146 Å; angles 90.00, 106.88, 90.00 degrees
Each line ends with the local moment (μB).
Positions (direct):
Nd1 0.219 0.250 0.552  0.00
Sr1 0.712 0.750 0.927  0.00
Sr2 0.288 0.250 0.073  0.00
N1 0.042 0.992 0.272  0.16
Nd2 0.781 0.750 0.448  0.00
N2 0.574 0.250 0.839  0.18
N3 0.593 0.250 0.451  0.28
N4 0.426 0.750 0.161  0.18
Cr1 0.767 0.250 0.693  -0.15
N5 0.958 0.008 0.728  0.16
N6 0.958 0.492 0.728  0.16
Cr2 0.233 0.750 0.307  -0.15
N7 0.042 0.508 0.272  0.16
N8 0.407 0.750 0.549  0.28

***

Density functional theory data (PBE) for an optimized crystal structure of SrNdCrN3.

Cell lengths 3.814, 6.915, 7.334 Å; angles 105.32, 90.00, 106.01 degrees
Positions (direct):
Cr1 0.996 0.993 0.284
N1 0.846 0.691 0.660
N2 0.503 0.007 0.282
Sr1 0.641 0.283 0.074
N3 0.154 0.309 0.340
Nd1 0.652 0.304 0.573
N4 0.497 0.993 0.718
N5 0.144 0.288 0.814
Nd2 0.348 0.696 0.427
N6 0.856 0.712 0.186
Sr2 0.359 0.717 0.926
Cr2 0.004 0.007 0.716

***

Density functional theory data (PBE) for an optimized crystal structure of Sr2NdCrN4.

Cell lengths 5.474, 7.083, 7.463 Å; angles 90.00, 90.00, 90.00 degrees
Each line ends with the local moment (μB).
Positions (direct):
N1 0.427 0.712 0.293  -0.03
Sr1 0.960 0.660 0.244  0.03
Cr1 0.504 0.832 0.500  0.64
Sr2 0.960 0.660 0.756  0.03
N2 0.926 0.918 0.000  -0.02
N3 0.827 0.829 0.500  -0.03
Cr2 0.004 0.168 0.000  0.64
Nd1 0.970 0.126 0.500  0.08
N4 0.927 0.288 0.793  -0.03
Sr3 0.460 0.340 0.256  0.03
Sr4 0.460 0.340 0.744  0.03
N5 0.327 0.171 0.000  -0.03
N6 0.927 0.288 0.207  -0.03
Nd2 0.470 0.874 0.000  0.08
N7 0.427 0.712 0.707  -0.03
N8 0.426 0.082 0.500  -0.02

***

Density functional theory data (PBE) for an optimized crystal structure of SrNd2CrN4.

Cell lengths 3.536, 6.379, 12.143 Å; angles 90.00, 90.00, 106.09 degrees
Each line ends with the local moment (μB).
Positions (direct):
Nd1 0.631 0.262 0.458  0.06
Sr1 0.909 0.818 0.250  0.03
N1 0.262 0.525 0.371  -0.03
Cr1 0.820 0.640 0.750  1.44
N2 0.738 0.475 0.871  -0.03
Nd2 0.631 0.262 0.042  0.06
Nd3 0.369 0.738 0.958  0.06
N3 0.000 0.000 0.500  0.01
Cr2 0.180 0.360 0.250  1.44
N4 0.000 0.000 0.000  0.01
N5 0.262 0.525 0.129  -0.03
Nd4 0.369 0.738 0.542  0.06
N6 0.397 0.794 0.750  -0.07
N7 0.603 0.206 0.250  -0.07
Sr2 0.091 0.182 0.750  0.03
N8 0.738 0.475 0.629  -0.03

***

Density functional theory data (PBE) for an optimized crystal structure of Nd2TaCr2N6.

Cell lengths 5.782, 5.782, 6.234 Å; angles 62.37, 62.37, 60.00 degrees
Positions (direct):
Cr1 0.565 0.565 0.304
N1 0.757 0.239 0.246
Cr2 0.435 0.435 0.696
N2 0.757 0.757 0.246
N3 0.243 0.243 0.754
Nd1 0.785 0.785 0.645
Ta1 0.000 0.000 0.000
N4 0.761 0.243 0.754
N5 0.239 0.757 0.246
N6 0.243 0.761 0.754
Nd2 0.215 0.215 0.355

***

Density functional theory data (PBE) for an optimized crystal structure of Tb2NdCrN4.

Cell lengths 3.425, 6.063, 11.694 Å; angles 90.00, 90.00, 106.41 degrees
Each line ends with the local moment (μB).
Positions (direct):
N1 0.000 0.000 0.000  0.02
Tb1 0.631 0.262 0.457  0.04
Cr1 0.833 0.665 0.750  1.47
N2 0.735 0.469 0.629  0.00
N3 0.265 0.531 0.371  0.00
N4 0.000 0.000 0.500  0.02
N5 0.421 0.842 0.750  -0.05
N6 0.735 0.469 0.871  0.00
Cr2 0.167 0.335 0.250  1.47
N7 0.265 0.531 0.129  0.00
Nd1 0.904 0.808 0.250  0.02
Tb2 0.631 0.262 0.043  0.04
Tb3 0.369 0.738 0.957  0.04
N8 0.579 0.158 0.250  -0.05
Tb4 0.369 0.738 0.543  0.04
Nd2 0.096 0.192 0.750  0.02

***

Density functional theory data (PBE) for an optimized crystal structure of TbNdCrN3.

Cell lengths 3.439, 7.463, 7.355 Å; angles 98.53, 90.00, 90.00 degrees
Positions (direct):
Cr1 0.750 0.918 0.403
N1 0.250 0.840 0.482
Tb1 0.750 0.367 0.829
Cr2 0.250 0.082 0.597
N2 0.750 0.403 0.147
Nd1 0.750 0.823 0.820
N3 0.750 0.879 0.155
N4 0.750 0.160 0.518
N5 0.250 0.121 0.845
Nd2 0.250 0.177 0.180
Tb2 0.250 0.633 0.171
N6 0.250 0.597 0.853

***

Density functional theory data (PBE) for an optimized crystal structure of TbNd2CrN4.

Cell lengths 3.442, 6.101, 12.203 Å; angles 90.00, 90.00, 106.39 degrees
Each line ends with the local moment (μB).
Positions (direct):
Nd1 0.367 0.734 0.542  0.03
Cr1 0.838 0.676 0.750  1.78
Tb1 0.885 0.769 0.250  0.14
N1 0.274 0.547 0.140  -0.01
N2 0.420 0.840 0.750  -0.09
N3 0.726 0.453 0.640  -0.01
Tb2 0.115 0.231 0.750  0.14
N4 0.726 0.453 0.860  -0.01
Nd2 0.633 0.266 0.458  0.03
N5 0.274 0.547 0.360  -0.01
Cr2 0.162 0.324 0.250  1.78
Nd3 0.367 0.734 0.958  0.03
N6 0.580 0.160 0.250  -0.09
N7 0.000 0.000 0.000  0.02
N8 0.000 0.000 0.500  0.02
Nd4 0.633 0.266 0.042  0.03

***

Density functional theory data (PBE) for an optimized crystal structure of Nd2CrTcN5.

Cell lengths 3.354, 7.170, 9.813 Å; angles 90.00, 90.00, 103.53 degrees
Each line ends with the local moment (μB).
Positions (direct):
Nd1 0.132 0.264 0.315  0.01
N1 0.698 0.396 0.145  0.00
N2 0.659 0.318 0.507  0.03
N3 0.685 0.369 0.873  0.02
N4 0.960 0.920 0.532  0.01
N5 0.495 0.991 0.297  0.00
Cr1 0.438 0.877 0.451  -0.01
Tc1 0.202 0.404 0.020  0.18
Nd2 0.875 0.750 0.183  0.01
N6 0.040 0.080 0.032  0.01
N7 0.505 0.009 0.797  0.00
Tc2 0.798 0.596 0.520  0.18
N8 0.341 0.682 0.007  0.03
N9 0.315 0.631 0.373  0.02
Nd3 0.868 0.736 0.815  0.01
Nd4 0.125 0.250 0.683  0.01
Cr2 0.562 0.123 0.951  -0.01
N10 0.302 0.604 0.645  0.00

***

Density functional theory data (PBE) for an optimized crystal structure of NdThCrN3.

Cell lengths 3.641, 7.227, 7.778 Å; angles 94.23, 90.00, 90.00 degrees
Positions (direct):
Th1 0.250 0.635 0.176
Nd1 0.750 0.858 0.836
N1 0.250 0.126 0.852
N2 0.750 0.397 0.129
N3 0.250 0.603 0.871
N4 0.750 0.131 0.570
N5 0.750 0.874 0.148
Th2 0.750 0.365 0.824
Cr1 0.250 0.071 0.590
Nd2 0.250 0.142 0.164
N6 0.250 0.869 0.430
Cr2 0.750 0.929 0.410

***

Density functional theory data (PBE) for an optimized crystal structure of NdTh2CrN4.

Cell lengths 3.505, 6.230, 12.145 Å; angles 90.00, 90.00, 106.34 degrees
Each line ends with the local moment (μB).
Positions (direct):
Cr1 0.163 0.327 0.250  2.30
Cr2 0.837 0.673 0.750  2.30
N1 0.272 0.545 0.129  0.00
Th1 0.368 0.735 0.949  0.15
N2 0.728 0.455 0.629  0.00
N3 0.433 0.866 0.750  -0.06
N4 0.728 0.455 0.871  0.00
Nd1 0.104 0.208 0.750  0.05
Th2 0.368 0.735 0.551  0.15
Th3 0.632 0.265 0.449  0.15
N5 0.567 0.134 0.250  -0.06
N6 0.000 0.000 0.000  0.03
Th4 0.632 0.265 0.051  0.15
Nd2 0.896 0.792 0.250  0.05
N7 0.000 0.000 0.500  0.03
N8 0.272 0.545 0.371  0.00

***

Density functional theory data (PBE) for an optimized crystal structure of NdTm2CrN4.

Cell lengths 3.378, 5.988, 11.468 Å; angles 90.00, 90.00, 106.39 degrees
Each line ends with the local moment (μB).
Positions (direct):
Tm1 0.369 0.739 0.543  0.04
N1 0.000 0.000 0.000  0.02
N2 0.577 0.155 0.250  -0.04
Tm2 0.369 0.739 0.957  0.04
N3 0.737 0.473 0.875  0.00
Tm3 0.631 0.261 0.043  0.04
Nd1 0.904 0.808 0.250  0.01
N4 0.000 0.000 0.500  0.02
N5 0.263 0.527 0.125  0.00
N6 0.423 0.845 0.750  -0.04
Nd2 0.096 0.192 0.750  0.01
Tm4 0.631 0.261 0.457  0.04
N7 0.737 0.473 0.625  0.00
N8 0.263 0.527 0.375  0.00
Cr1 0.834 0.667 0.750  1.44
Cr2 0.166 0.333 0.250  1.44

***

no.,uncorrected formation energy (eV per atom),mass density (g cm⁻³)
1,-1.04,6.239
2,-0.95,8.621
3,-1.05,8.749
4,-0.41,5.231
5,-0.71,8.604
6,-1.11,7.550
7,-0.74,5.014
8,-0.80,6.054
9,-0.82,4.907
10,-1.00,6.109
11,-0.79,7.162
12,-1.21,8.129
13,-1.09,7.065
14,-1.01,7.503
15,-0.74,7.361
16,-1.11,7.653
17,-1.14,9.347
18,-1.30,8.806